1.
The following is a DFT calculation (SCAN) of a crystal of Ca3CuBr relaxed with PBEsol.

Geometry as POSCAR:
```
Ca3CuBr
1.0
-4.020 -0.033 -3.762
-2.460 -4.143 2.664
-2.847 3.626 3.010
Ca Cu Br
3 1 1
Cartesian
-1.230 -2.072 1.332
-1.424 1.813 1.505
-2.010 -0.016 -1.881
0.000 0.000 0.000
-4.663 -0.275 0.956
```

## Properties
E_form (uncorrected) = -335 meV per atom
total DFT energy (no corrections) = -65.33 eV/f.u.
total magnetic moment = 0.001 μB per formula unit
polymorph energy (0 for the lowest one) = 0.0 kJ per mole of atoms
SG = Pm-3m, No. 221

***

2.
The following is a DFT calculation (SCAN) of a crystal of Te2IrBr relaxed with PBEsol.

Geometry as POSCAR:
```
Te2IrBr
1.0
3.225 0.000 0.000
0.000 5.049 0.000
-1.612 -2.525 5.777
Ir Te Br
1 2 1
Cartesian
0.000 2.525 0.000
1.612 2.525 2.138
0.000 0.000 3.638
1.612 0.000 0.000
```

## Properties
E_form (uncorrected) = 381 meV per atom
total DFT energy (no corrections) = -163.54 eV/f.u.
total magnetic moment = 0.000 μB per formula unit
polymorph energy (0 for the lowest one) = 67.3 kJ per mole of atoms
SG = Immm, No. 71

***

3.
The following is a DFT calculation (SCAN) of a crystal of RuBrN2F relaxed with PBEsol.

Geometry as POSCAR:
```
RuBrN2F
1.0
-0.524 -3.757 -0.343
4.029 -0.404 -1.732
1.672 -0.601 4.029
Ru N Br F
1 2 1 1
Cartesian
-0.262 -1.878 -0.171
0.836 -0.300 2.015
2.014 -0.202 -0.866
2.588 -2.381 0.977
0.000 0.000 0.000
```

## Properties
E_form (uncorrected) = 2057 meV per atom
total DFT energy (no corrections) = -66.12 eV/f.u.
total magnetic moment = 8.448 μB per formula unit
polymorph energy (0 for the lowest one) = 0.0 kJ per mole of atoms
SG = P4/mmm, No. 123

***

4.
The following is a DFT calculation (SCAN) of a crystal of MnMoIr2 relaxed with PBEsol.

Geometry as POSCAR:
```
MnMoIr2
1.0
-1.478 -1.372 -1.790
-0.904 -2.913 2.978
-3.789 2.452 1.249
Mo Ir Mn
1 2 1
Cartesian
-2.012 -1.611 0.865
-0.159 0.103 0.052
-3.085 0.248 2.357
-2.809 0.654 -0.213
```

## Properties
total DFT energy (no corrections) = -196.65 eV/f.u.
total magnetic moment = 2.279 μB per formula unit
polymorph energy (0 for the lowest one) = 6.5 kJ per mole of atoms
ΔE_f = -0.33 eV per atom
SG = Pmm2, No. 25